A plane-wave DFT calculation with PBEsol was carried out for a relaxed Mg3P2O8 crystal.

Values from the calculation:
space group = No. 2
density of states at the Fermi level = 0.00 states/eV/cell
calculated volume = 568 Å³/cell
crystal system = triclinic
energy above the most stable polymorph in this dataset = 0 meV/atom
energy = -371.85 eV per cell
formation energy without anion corrections = -2.6333 eV per atom

```
Mg3P2O8
1.0
8.5220 0.0000 0.0000
-3.7156 8.1987 0.0000
-0.2213 -4.5943 8.1312
Mg P O
12 8 32
direct
0.0149 0.3932 0.3206
0.0945 0.0213 0.7617
0.0988 0.6933 0.1742
0.4004 0.3175 0.3396
0.4228 0.2005 0.6271
0.4825 0.2058 0.9440
0.5175 0.7942 0.0560
0.5772 0.7995 0.3729
0.5996 0.6825 0.6604
0.9012 0.3067 0.8258
0.9055 0.9787 0.2383
0.9851 0.6068 0.6794
0.1711 0.3225 0.5937
0.2292 0.9334 0.0496
0.2638 0.4278 0.0983
0.3222 0.8103 0.5524
0.6778 0.1897 0.4476
0.7362 0.5722 0.9017
0.7708 0.0666 0.9504
0.8289 0.6775 0.4063
0.0665 0.2344 0.4161
0.0894 0.4296 0.7177
0.0983 0.4424 0.0520
0.1200 0.9466 0.1820
0.1217 0.8711 0.8808
0.1713 0.6384 0.5471
0.1738 0.1691 0.6275
0.2543 0.4059 0.2540
0.2713 0.2616 0.9564
0.2867 0.7893 0.0423
0.2963 0.8198 0.3930
0.3417 0.9982 0.6993
0.3696 0.4411 0.5971
0.3946 0.1277 0.1112
0.4348 0.6104 0.1427
0.5004 0.1977 0.4291
0.4996 0.8023 0.5709
0.5652 0.3896 0.8573
0.6054 0.8723 0.8888
0.6304 0.5589 0.4029
0.6583 0.0018 0.3007
0.7037 0.1802 0.6070
0.7133 0.2107 0.9577
0.7287 0.7384 0.0436
0.7457 0.5941 0.7460
0.8262 0.8309 0.3725
0.8287 0.3616 0.4529
0.8783 0.1289 0.1192
0.8800 0.0534 0.8180
0.9017 0.5576 0.9480
0.9106 0.5704 0.2823
0.9335 0.7656 0.5839
```